Compound: TbSmBiTe
Source: Alexandria via LeMat-Bulk
Functional: PBE
Structure: optimized geometry

Lattice parameters (Å, degrees): 4.471 4.471 6.314 90.00 90.00 90.00
Atoms (fractional coordinates):
Tb  0.000  0.000  0.000
Sm  0.500  0.500  0.500
Bi  0.000  0.000  0.500
Te  0.500  0.500  0.000

Results
**ΔE_f (raw)**: -1.140 eV per atom
**V**: 126.19 Å³ per cell

Compound: TbSmTh2Bi4
Source: Alexandria via LeMat-Bulk
Functional: PBE
Structure: optimized geometry

Lattice parameters (Å, degrees): 7.877 4.572 7.914 90.00 109.66 90.00
Atoms (fractional coordinates):
Tb  0.000  0.000  0.000
Sm  0.000  0.500  0.500
Th  0.500  0.000  0.500
Th  0.500  0.500  0.000
Bi  0.243  0.500  0.246
Bi  0.245  0.000  0.750
Bi  0.755  0.000  0.250
Bi  0.757  0.500  0.754

Results
**Energy of formation from the pure elements**: -0.736 eV/atom
**V**: 268.42 Å³ per cell

Compound: TbSm2ThBi4
Source: Alexandria via LeMat-Bulk
Functional: PBE
Structure: optimized geometry

Lattice parameters (Å, degrees): 7.875 4.561 7.887 90.00 109.49 90.00
Atoms (fractional coordinates):
Tb  0.000  0.000  0.000
Sm  0.000  0.500  0.500
Sm  0.500  0.000  0.500
Th  0.500  0.500  0.000
Bi  0.246  0.000  0.749
Bi  0.246  0.500  0.248
Bi  0.754  0.000  0.251
Bi  0.754  0.500  0.752

Results
**Energy of formation from the pure elements**: -0.837 eV/atom
**V**: 267.07 Å³ per cell

Compound: TbSm2Th3Bi6
Source: Alexandria via LeMat-Bulk
Functional: PBE
Structure: optimized geometry

Lattice parameters (Å, degrees): 10.213 10.213 9.114 102.77 102.77 25.87
Atoms (fractional coordinates):
Tb  0.000  0.000  0.000
Sm  0.333  0.333  0.667
Sm  0.667  0.667  0.333
Th  0.000  0.000  0.500
Th  0.332  0.332  0.167
Th  0.668  0.668  0.833
Bi  0.164  0.164  0.084
Bi  0.167  0.167  0.581
Bi  0.500  0.500  0.245
Bi  0.500  0.500  0.755
Bi  0.833  0.833  0.419
Bi  0.836  0.836  0.916

Results
**Energy of formation from the pure elements**: -0.742 eV/atom
**V**: 404.03 Å³ per cell

Compound: TbSm2ThBi5
Source: Alexandria via LeMat-Bulk
Functional: PBE
Structure: optimized geometry

Lattice parameters (Å, degrees): 5.733 5.733 11.944 90.00 90.00 90.00
Atoms (fractional coordinates):
Tb  0.000  0.000  0.000
Sm  0.500  0.500  0.274
Sm  0.500  0.500  0.726
Th  0.000  0.000  0.500
Bi  0.000  0.000  0.243
Bi  0.000  0.000  0.757
Bi  0.000  0.500  0.500
Bi  0.500  0.000  0.500
Bi  0.500  0.500  0.000

Results
**Energy of formation from the pure elements**: 0.111 eV/atom
**V**: 392.49 Å³ per cell

Compound: Tb2SmTh3Bi6
Source: Alexandria via LeMat-Bulk
Functional: PBE
Structure: optimized geometry

Lattice parameters (Å, degrees): 10.188 10.188 9.090 102.74 102.74 25.88
Atoms (fractional coordinates):
Tb  0.167  0.167  0.333
Tb  0.833  0.833  0.667
Sm  0.500  0.500  0.000
Th  0.166  0.166  0.833
Th  0.500  0.500  0.500
Th  0.834  0.834  0.167
Bi  0.002  0.002  0.249
Bi  0.331  0.331  0.421
Bi  0.334  0.334  0.912
Bi  0.666  0.666  0.088
Bi  0.669  0.669  0.579
Bi  0.998  0.998  0.751

Results
**Energy of formation from the pure elements**: -0.732 eV/atom
**V**: 401.11 Å³ per cell

Compound: TbSmTlBi
Source: Alexandria via LeMat-Bulk
Functional: PBE
Structure: optimized geometry

Lattice parameters (Å, degrees): 7.770 7.770 7.770 90.00 90.00 90.00
Atoms (fractional coordinates):
Tb  0.000  0.000  0.000
Tb  0.000  0.500  0.500
Tb  0.500  0.000  0.500
Tb  0.500  0.500  0.000
Sm  0.000  0.000  0.500
Sm  0.000  0.500  0.000
Sm  0.500  0.000  0.000
Sm  0.500  0.500  0.500
Tl  0.250  0.250  0.250
Tl  0.250  0.750  0.750
Tl  0.750  0.250  0.750
Tl  0.750  0.750  0.250
Bi  0.250  0.250  0.750
Bi  0.250  0.750  0.250
Bi  0.750  0.250  0.250
Bi  0.750  0.750  0.750

Results
**Energy of formation from the pure elements**: -0.438 eV/atom
**V**: 469.08 Å³ per cell

Compound: Tb2SmTm3Bi6
Source: Alexandria via LeMat-Bulk
Functional: PBE
Structure: optimized geometry

Lattice parameters (Å, degrees): 9.999 9.999 8.946 102.82 102.82 25.86
Atoms (fractional coordinates):
Tb  0.167  0.167  0.333
Tb  0.833  0.833  0.667
Sm  0.500  0.500  0.000
Tm  0.166  0.166  0.833
Tm  0.500  0.500  0.500
Tm  0.834  0.834  0.167
Bi  0.001  0.001  0.744
Bi  0.331  0.331  0.919
Bi  0.334  0.334  0.415
Bi  0.666  0.666  0.585
Bi  0.669  0.669  0.081
Bi  0.999  0.999  0.256

Results
**Energy of formation from the pure elements**: -0.837 eV/atom
**V**: 379.84 Å³ per cell

Number 1: total energy -5.23 eV per atom. Number 2: total energy -5.70 eV per atom. Number 3: total energy -5.46 eV per atom. Number 4: total energy -5.71 eV per atom. Number 5: total energy -4.43 eV per atom. Number 6: total energy -5.69 eV per atom. Number 7: total energy -4.34 eV per atom. Number 8: total energy -5.06 eV per atom.